# Mg2SbPt (PBE, relaxed)
data_Mg2SbPt
_chemical_formula_sum 'Mg4 Sb2 Pt2'
_space_group_name_H-M_alt 'I m m 2'
_space_group_IT_number 44
_cell_length_a 3.053
_cell_length_b 4.508
_cell_length_c 12.512
_cell_angle_alpha 90.00
_cell_angle_beta 90.00
_cell_angle_gamma 90.00
loop_
_space_group_symop_operation_xyz
'x,y,z'
'-x,-y,z'
'-x,y,z'
'x,-y,z'
'x+1/2,y+1/2,z+1/2'
'-x+1/2,-y+1/2,z+1/2'
'-x+1/2,y+1/2,z+1/2'
'x+1/2,-y+1/2,z+1/2'
loop_
_atom_site_label
_atom_site_type_symbol
_atom_site_fract_x
_atom_site_fract_y
_atom_site_fract_z
_atom_site_occupancy
Mg1 Mg 0.000 0.000 0.000 1
Mg2 Mg 0.000 0.500 0.184 1
Sb1 Sb 0.000 0.000 0.377 1
Pt1 Pt 0.000 0.500 0.682 1
# M_tot = 0.0 μB per formula unit
# formation energy from raw total energies = -0.4920 eV per atom


# Mg2SbPt (PBE, relaxed)
data_Mg2SbPt
_chemical_formula_sum 'Mg4 Sb2 Pt2'
_space_group_name_H-M_alt 'I 4/m m m'
_space_group_IT_number 139
_space_group_name_Hall '-I 4 2'
_cell_length_a 4.273
_cell_length_b 4.273
_cell_length_c 8.379
_cell_angle_alpha 90.00
_cell_angle_beta 90.00
_cell_angle_gamma 90.00
loop_
_atom_site_label
_atom_site_type_symbol
_atom_site_fract_x
_atom_site_fract_y
_atom_site_fract_z
_atom_site_occupancy
Mg1 Mg 0.000 0.500 0.250 1
Sb1 Sb 0.000 0.000 0.000 1
Pt1 Pt 0.000 0.000 0.500 1
# M_tot = 0.0 μB per formula unit
# formation energy from raw total energies = -0.4529 eV per atom


# Mg2SbPt (PBE, relaxed)
data_Mg2SbPt
_chemical_formula_sum 'Mg2 Sb1 Pt1'
_space_group_name_H-M_alt 'P 1 m 1'
_space_group_IT_number 6
_cell_length_a 3.329
_cell_length_b 4.388
_cell_length_c 5.724
_cell_angle_alpha 90.00
_cell_angle_beta 106.53
_cell_angle_gamma 90.00
loop_
_space_group_symop_operation_xyz
'x,y,z'
'x,-y,z'
loop_
_atom_site_label
_atom_site_type_symbol
_atom_site_fract_x
_atom_site_fract_y
_atom_site_fract_z
_atom_site_occupancy
Mg1 Mg 0.000 0.000 0.000 1
Mg2 Mg 0.328 0.500 0.663 1
Sb1 Sb 0.727 0.000 0.458 1
Pt1 Pt 0.572 0.500 0.146 1
# M_tot = 0.0 μB per formula unit
# formation energy from raw total energies = -0.4665 eV per atom


# MgSbPt4 (PBE, relaxed)
data_MgSbPt4
_chemical_formula_sum 'Mg4 Sb4 Pt16'
_space_group_name_H-M_alt 'F -4 3 m'
_space_group_IT_number 216
_space_group_name_Hall 'F -4 2 3'
_cell_length_a 7.586
_cell_length_b 7.586
_cell_length_c 7.586
_cell_angle_alpha 90.00
_cell_angle_beta 90.00
_cell_angle_gamma 90.00
loop_
_atom_site_label
_atom_site_type_symbol
_atom_site_fract_x
_atom_site_fract_y
_atom_site_fract_z
_atom_site_occupancy
Mg1 Mg 0.000 0.000 0.000 1
Sb1 Sb 0.250 0.250 0.250 1
Pt1 Pt 0.125 0.125 0.625 1
# M_tot = 0.0 μB per formula unit
# formation energy from raw total energies = -0.2996 eV per atom


# MgSb3Pt (PBE, relaxed)
data_MgSb3Pt
_chemical_formula_sum 'Mg1 Sb3 Pt1'
_space_group_name_H-M_alt 'P m -3 m'
_space_group_IT_number 221
_space_group_name_Hall '-P 4 2 3'
_cell_length_a 5.314
_cell_length_b 5.314
_cell_length_c 5.314
_cell_angle_alpha 90.00
_cell_angle_beta 90.00
_cell_angle_gamma 90.00
loop_
_atom_site_label
_atom_site_type_symbol
_atom_site_fract_x
_atom_site_fract_y
_atom_site_fract_z
_atom_site_occupancy
Mg1 Mg 0.000 0.000 0.000 1
Sb1 Sb 0.000 0.500 0.500 1
Pt1 Pt 0.500 0.500 0.500 1
# M_tot = 0.0 μB per formula unit
# formation energy from raw total energies = 0.3201 eV per atom


# Mg2SbPt8 (PBE, relaxed)
data_Mg2SbPt8
_chemical_formula_sum 'Mg4 Sb2 Pt16'
_space_group_name_H-M_alt 'C 1 2/m 1'
_space_group_IT_number 12
_cell_length_a 15.207
_cell_length_b 4.627
_cell_length_c 5.698
_cell_angle_alpha 90.00
_cell_angle_beta 111.93
_cell_angle_gamma 90.00
loop_
_space_group_symop_operation_xyz
'x,y,z'
'-x,-y,-z'
'-x,y,-z'
'x,-y,z'
'x+1/2,y+1/2,z'
'-x+1/2,-y+1/2,-z'
'-x+1/2,y+1/2,-z'
'x+1/2,-y+1/2,z'
loop_
_atom_site_label
_atom_site_type_symbol
_atom_site_fract_x
_atom_site_fract_y
_atom_site_fract_z
_atom_site_occupancy
Mg1 Mg 0.187 0.000 0.186 1
Sb1 Sb 0.000 0.500 0.500 1
Pt1 Pt 0.000 0.000 0.238 1
Pt2 Pt 0.148 0.500 0.385 1
Pt3 Pt 0.148 0.500 0.911 1
Pt4 Pt 0.178 0.000 0.677 1
# M_tot = 0.0 μB per formula unit
# formation energy from raw total energies = -0.3960 eV per atom


# Mg2SbPt (PBE, relaxed)
data_Mg2SbPt
_chemical_formula_sum 'Mg4 Sb2 Pt2'
_space_group_name_H-M_alt 'I -4 m 2'
_space_group_IT_number 119
_space_group_name_Hall 'I -4 -2'
_cell_length_a 4.166
_cell_length_b 4.166
_cell_length_c 8.942
_cell_angle_alpha 90.00
_cell_angle_beta 90.00
_cell_angle_gamma 90.00
loop_
_atom_site_label
_atom_site_type_symbol
_atom_site_fract_x
_atom_site_fract_y
_atom_site_fract_z
_atom_site_occupancy
Mg1 Mg 0.000 0.000 0.000 1
Mg2 Mg 0.000 0.500 0.250 1
Sb1 Sb 0.000 0.000 0.500 1
Pt1 Pt 0.000 0.500 0.750 1
# M_tot = 0.0 μB per formula unit
# formation energy from raw total energies = -0.3993 eV per atom


# MgSb2Pt2 (PBE, relaxed)
data_MgSb2Pt2
_chemical_formula_sum 'Mg2 Sb4 Pt4'
_space_group_name_H-M_alt 'I 4/m m m'
_space_group_IT_number 139
_space_group_name_Hall '-I 4 2'
_cell_length_a 3.913
_cell_length_b 3.913
_cell_length_c 14.931
_cell_angle_alpha 90.00
_cell_angle_beta 90.00
_cell_angle_gamma 90.00
loop_
_atom_site_label
_atom_site_type_symbol
_atom_site_fract_x
_atom_site_fract_y
_atom_site_fract_z
_atom_site_occupancy
Mg1 Mg 0.000 0.000 0.000 1
Sb1 Sb 0.000 0.000 0.379 1
Pt1 Pt 0.000 0.500 0.250 1
# M_tot = 0.0 μB per formula unit
# formation energy from raw total energies = -0.2012 eV per atom